Computed, not measured: a relaxed LiCeGePt2 crystal at the PBE-GGA level of DFT.

Values from the calculation:
Space group: Imm2, No. 44
Magnetization (μB per cell): 0.4
VASP energy (eV per atom): -5.7330
Density of states at the Fermi level (states/eV/cell): 5.18
Energy of formation (eV/atom): -0.824

a b c (Å): 6.585 6.585 6.585
angles (deg): 146.55 143.36 50.45
Fractional coordinates of all 5 atoms:
Li 0.000 0.000 0.000
Ce 0.741 0.241 0.500
Ge 0.369 0.869 0.500
Pt 0.158 0.658 0.500
Pt 0.500 0.500 0.000


Computed, not measured: a relaxed PuMnSn2 crystal at the PBE-GGA level of DFT.

Values from the calculation:
Space group: P4/mmm, No. 123
Magnetization (μB per cell): 9.8
VASP energy (eV per atom): -7.9174
Density of states at the Fermi level (states/eV/cell): 12.72
Energy of formation (eV/atom): -0.041

a b c (Å): 4.665 4.665 4.322
angles (deg): 90.00 90.00 90.00
Fractional coordinates of all 4 atoms:
Pu 0.000 0.000 0.000
Mn 0.500 0.500 0.000
Sn 0.000 0.500 0.500
Sn 0.500 0.000 0.500


Computed, not measured: a relaxed AcEr2Si4 crystal at the PBE-GGA level of DFT.

Values from the calculation:
Space group: Immm, No. 71
Magnetization (μB per cell): 0.0
Uncorrected formation energy (meV per atom): -694.7
VASP energy (eV per atom): -5.6841
Density of states at the Fermi level (states/eV/cell): 3.83

a b c (Å): 9.292 9.292 9.292
angles (deg): 155.55 152.33 37.26
Fractional coordinates of all 7 atoms:
Ac 0.000 0.000 0.000
Er 0.183 0.683 0.500
Er 0.817 0.317 0.500
Si 0.347 0.847 0.500
Si 0.430 0.430 0.000
Si 0.570 0.570 0.000
Si 0.653 0.153 0.500


Computed, not measured: a relaxed P2OsRu crystal at the PBE-GGA level of DFT.

Values from the calculation:
Space group: P2/m, No. 10
Magnetization (μB per cell): 0.0
Offset from the most stable computed form (kcal/mol of atoms): 5.183
VASP energy (eV per atom): -7.9532
Density of states at the Fermi level (states/eV/cell): 2.41
Energy of formation (eV/atom): -0.122

a b c (Å): 4.021 2.885 4.974
angles (deg): 90.00 113.13 90.00
Fractional coordinates of all 4 atoms:
P 0.000 0.000 0.000
P 0.500 0.500 0.500
Os 0.000 0.000 0.500
Ru 0.500 0.500 0.000


Computed, not measured: a relaxed LiAlRe2 crystal at the PBE-GGA level of DFT.

Values from the calculation:
Space group: P4/mmm, No. 123
Magnetization (μB per cell): 0.0
VASP energy (eV per atom): -7.4762
Density of states at the Fermi level (states/eV/cell): 3.27
Energy of formation (eV/atom): 0.162

a b c (Å): 3.685 3.685 4.213
angles (deg): 90.00 90.00 90.00
Fractional coordinates of all 4 atoms:
Li 0.000 0.000 0.000
Al 0.500 0.500 0.000
Re 0.000 0.500 0.500
Re 0.500 0.000 0.500


Computed, not measured: a relaxed Er2PuAl crystal at the PBE-GGA level of DFT.

Values from the calculation:
Space group: P4/mmm, No. 123
Magnetization (μB per cell): 6.1
Offset from the most stable computed form (kcal/mol of atoms): 0.000
VASP energy (eV per atom): -6.9217
Density of states at the Fermi level (states/eV/cell): 8.09
Energy of formation (eV/atom): -0.122

a b c (Å): 3.427 3.427 8.810
angles (deg): 90.00 90.00 90.00
Fractional coordinates of all 4 atoms:
Er 0.000 0.000 0.219
Er 0.000 0.000 0.781
Pu 0.500 0.500 0.500
Al 0.500 0.500 0.000


Computed, not measured: a relaxed PrSm15In4 crystal at the PBE-GGA level of DFT.

Values from the calculation:
Space group: P4/mmm, No. 123
Magnetization (μB per cell): 0.0
VASP energy (eV per atom): -4.5311
Density of states at the Fermi level (states/eV/cell): 29.36
Energy of formation (eV/atom): -0.205

a b c (Å): 4.944 4.944 25.265
angles (deg): 90.00 90.00 90.00
Fractional coordinates of all 20 atoms:
Pr 0.000 0.000 0.000
Sm 0.000 0.500 0.107
Sm 0.000 0.500 0.304
Sm 0.000 0.500 0.500
Sm 0.000 0.500 0.696
Sm 0.000 0.500 0.893
Sm 0.500 0.000 0.107
Sm 0.500 0.000 0.304
Sm 0.500 0.000 0.500
Sm 0.500 0.000 0.696
Sm 0.500 0.000 0.893
Sm 0.500 0.500 0.000
Sm 0.500 0.500 0.207
Sm 0.500 0.500 0.402
Sm 0.500 0.500 0.598
Sm 0.500 0.500 0.793
In 0.000 0.000 0.207
In 0.000 0.000 0.403
In 0.000 0.000 0.597
In 0.000 0.000 0.793


Computed, not measured: a relaxed GaGeSb crystal at the PBE-GGA level of DFT.

Values from the calculation:
Space group: P2, No. 3
Magnetization (μB per cell): 0.0
Offset from the most stable computed form (kcal/mol of atoms): 2.666
Uncorrected formation energy (meV per atom): 73.4
VASP energy (eV per atom): -3.8488
Density of states at the Fermi level (states/eV/cell): 0.31

a b c (Å): 4.267 4.626 4.355
angles (deg): 90.00 117.86 90.00
Fractional coordinates of all 3 atoms:
Ga 0.000 0.000 0.000
Ge 0.000 0.717 0.500
Sb 0.500 0.350 0.500


VASP energy of number 2 (PuMnSn2)?
-7.9174 eV per atom


What is the formula in the second record?
PuMnSn2


Copy entry 8 word for word.
Computed, not measured: a relaxed GaGeSb crystal at the PBE-GGA level of DFT.

Values from the calculation:
Space group: P2, No. 3
Magnetization (μB per cell): 0.0
Offset from the most stable computed form (kcal/mol of atoms): 2.666
Uncorrected formation energy (meV per atom): 73.4
VASP energy (eV per atom): -3.8488
Density of states at the Fermi level (states/eV/cell): 0.31

a b c (Å): 4.267 4.626 4.355
angles (deg): 90.00 117.86 90.00
Fractional coordinates of all 3 atoms:
Ga 0.000 0.000 0.000
Ge 0.000 0.717 0.500
Sb 0.500 0.350 0.500